No. 1
A geometry-optimized LuSc structure. Source: the Open Quantum Materials Database, functional PBE.

The calculation puts the formation energy at 0.05 eV per formula unit. The spin magnetization is 0.036 μB per atom. For the volume, the calculation gives 26.6 Å³ per atom.

The structure belongs to space group P-6m2 (No. 187); the cell edges are 3.4013, 3.4013 and 5.3034 Å and the angles 90.00°, 90.00° and 120.00°. Symmetry generates all atoms from Lu at (0.0000, 0.0000, 0.0000) and Sc at (0.6667, 0.3333, 0.5000).

No. 2
A geometry-optimized LuScSi structure. Source: the Open Quantum Materials Database, functional PBE.

The spin magnetization is 0.002 μB per atom. For the volume, the calculation gives 23.4 Å³ per atom. The calculation puts the total energy at -5.89 eV/atom.

The structure belongs to space group F-43m (No. 216); the cell edges are 6.547, 6.547 and 6.547 Å and the angles 90.00°, 90.00° and 90.00°. Symmetry generates all atoms from Lu at (0.000, 0.000, 0.000), Sc at (0.000, 0.000, 0.500) and Si at (0.250, 0.250, 0.250).